one:
Material: LaNd2Th
Method: DFT, PBE
State: optimized geometry Values from VASP.

Calculated values
Space-group type ... Fm-3m
N(E_F) ... 2.660 states/eV per atom

Quantum ESPRESSO input file:
```
&SYSTEM
  ibrav = 0, nat = 4, ntyp = 3
/
ATOMIC_SPECIES
La 138.91 La.upf
Nd 144.24 Nd.upf
Th 232.04 Th.upf
CELL_PARAMETERS angstrom
0.000 4.120 4.120
4.120 0.000 4.120
4.120 4.120 0.000
ATOMIC_POSITIONS crystal
La 0.000 0.000 0.000
Nd 0.250 0.250 0.250
Nd 0.750 0.750 0.750
Th 0.500 0.500 0.500
```

two:
Material: LaNd2Th
Method: DFT, PBE
State: optimized geometry Values from VASP.

Calculated values
Space-group type ... P6_3/mmc
N(E_F) ... 1.382 states/eV per atom

Quantum ESPRESSO input file:
```
&SYSTEM
  ibrav = 0, nat = 8, ntyp = 3
/
ATOMIC_SPECIES
La 138.91 La.upf
Nd 144.24 Nd.upf
Th 232.04 Th.upf
CELL_PARAMETERS angstrom
3.662 0.000 0.000
-1.831 3.172 0.000
0.000 0.000 24.001
ATOMIC_POSITIONS crystal
La 0.333 0.667 0.250
La 0.667 0.333 0.750
Nd 0.333 0.667 0.620
Nd 0.333 0.667 0.880
Nd 0.667 0.333 0.120
Nd 0.667 0.333 0.380
Th 0.000 0.000 0.000
Th 0.000 0.000 0.500
```

three:
Material: LaNd2Th
Method: DFT, PBE
State: optimized geometry Values from VASP.

Calculated values
Space-group type ... P4/mmm
N(E_F) ... 1.373 states/eV per atom

Quantum ESPRESSO input file:
```
&SYSTEM
  ibrav = 0, nat = 4, ntyp = 3
/
ATOMIC_SPECIES
La 138.91 La.upf
Nd 144.24 Nd.upf
Th 232.04 Th.upf
CELL_PARAMETERS angstrom
5.178 0.000 0.000
0.000 5.178 0.000
0.000 0.000 5.162
ATOMIC_POSITIONS crystal
La 0.000 0.000 0.000
Nd 0.000 0.500 0.500
Nd 0.500 0.000 0.500
Th 0.500 0.500 0.000
```

Stability summary: most stable two, least stable one.

one:
Material: LaNd2Th
Method: DFT, PBE
State: optimized geometry Values from VASP.

Calculated values
Space-group type ... R-3m
N(E_F) ... 1.719 states/eV per atom

Quantum ESPRESSO input file:
```
&SYSTEM
  ibrav = 0, nat = 4, ntyp = 3
/
ATOMIC_SPECIES
La 138.91 La.upf
Nd 144.24 Nd.upf
Th 232.04 Th.upf
CELL_PARAMETERS angstrom
1.831 1.057 11.988
-1.831 1.057 11.988
0.000 -2.114 11.988
ATOMIC_POSITIONS crystal
La 0.000 0.000 0.000
Nd 0.247 0.247 0.247
Nd 0.753 0.753 0.753
Th 0.500 0.500 0.500
```

two:
Material: LaNd2Th
Method: DFT, PBE
State: optimized geometry Values from VASP.

Calculated values
Space-group type ... Pnma
N(E_F) ... 1.407 states/eV per atom

Quantum ESPRESSO input file:
```
&SYSTEM
  ibrav = 0, nat = 16, ntyp = 3
/
ATOMIC_SPECIES
La 138.91 La.upf
Nd 144.24 Nd.upf
Th 232.04 Th.upf
CELL_PARAMETERS angstrom
12.101 0.000 0.000
0.000 3.532 0.000
0.000 0.000 13.047
ATOMIC_POSITIONS crystal
La 0.023 0.250 0.132
La 0.477 0.750 0.632
La 0.523 0.250 0.368
La 0.977 0.750 0.868
Nd 0.218 0.750 0.739
Nd 0.236 0.250 0.502
Nd 0.264 0.750 0.002
Nd 0.282 0.250 0.239
Nd 0.718 0.750 0.761
Nd 0.736 0.250 0.998
Nd 0.764 0.750 0.498
Nd 0.782 0.250 0.261
Th 0.018 0.750 0.377
Th 0.482 0.250 0.877
Th 0.518 0.750 0.123
Th 0.982 0.250 0.623
```

Stability summary: most stable one, least stable two.

one:
Material: La5Nd12Th2
Method: DFT, PBE
State: optimized geometry Values from VASP.

Calculated values
Space-group type ... C2/m
N(E_F) ... 1.410 states/eV per atom

Quantum ESPRESSO input file:
```
&SYSTEM
  ibrav = 0, nat = 19, ntyp = 3
/
ATOMIC_SPECIES
La 138.91 La.upf
Nd 144.24 Nd.upf
Th 232.04 Th.upf
CELL_PARAMETERS angstrom
9.147 -4.767 0.000
9.147 4.767 0.000
-4.239 0.000 7.923
ATOMIC_POSITIONS crystal
La 0.000 0.000 0.000
La 0.236 0.236 0.821
La 0.279 0.279 0.265
La 0.721 0.721 0.735
La 0.764 0.764 0.179
Nd 0.027 0.674 0.573
Nd 0.047 0.047 0.688
Nd 0.185 0.594 0.058
Nd 0.326 0.973 0.427
Nd 0.406 0.815 0.942
Nd 0.411 0.411 0.742
Nd 0.589 0.589 0.258
Nd 0.594 0.185 0.058
Nd 0.674 0.027 0.573
Nd 0.815 0.406 0.942
Nd 0.953 0.953 0.312
Nd 0.973 0.326 0.427
Th 0.338 0.662 0.500
Th 0.662 0.338 0.500
```

two:
Material: La5Nd12Th2
Method: DFT, PBE
State: optimized geometry Values from VASP.

Calculated values
Space-group type ... C2/m
N(E_F) ... 1.643 states/eV per atom

Quantum ESPRESSO input file:
```
&SYSTEM
  ibrav = 0, nat = 19, ntyp = 3
/
ATOMIC_SPECIES
La 138.91 La.upf
Nd 144.24 Nd.upf
Th 232.04 Th.upf
CELL_PARAMETERS angstrom
11.419 -3.601 0.000
11.419 3.601 0.000
-3.070 0.000 8.319
ATOMIC_POSITIONS crystal
La 0.000 0.000 0.000
La 0.248 0.248 0.991
La 0.350 0.350 0.405
La 0.650 0.650 0.595
La 0.752 0.752 0.009
Nd 0.053 0.545 0.708
Nd 0.137 0.137 0.546
Nd 0.150 0.636 0.117
Nd 0.364 0.850 0.883
Nd 0.454 0.454 0.797
Nd 0.455 0.947 0.292
Nd 0.545 0.053 0.708
Nd 0.546 0.546 0.203
Nd 0.636 0.150 0.117
Nd 0.850 0.364 0.883
Nd 0.863 0.863 0.454
Nd 0.947 0.455 0.292
Th 0.252 0.748 0.500
Th 0.748 0.252 0.500
```

Stability summary: most stable two, least stable one.

one:
Material: La2Nd4Th
Method: DFT, PBE
State: optimized geometry Values from VASP.

Calculated values
Space-group type ... Imma
N(E_F) ... 1.571 states/eV per atom

Quantum ESPRESSO input file:
```
&SYSTEM
  ibrav = 0, nat = 14, ntyp = 3
/
ATOMIC_SPECIES
La 138.91 La.upf
Nd 144.24 Nd.upf
Th 232.04 Th.upf
CELL_PARAMETERS angstrom
-3.403 5.965 6.200
3.403 -5.965 6.200
3.403 5.965 -6.200
ATOMIC_POSITIONS crystal
La 0.000 0.000 0.000
La 0.476 0.226 0.250
La 0.500 0.000 0.500
La 0.524 0.774 0.750
Nd 0.140 0.647 0.493
Nd 0.261 0.283 0.522
Nd 0.261 0.738 0.978
Nd 0.346 0.353 0.993
Nd 0.654 0.647 0.007
Nd 0.739 0.262 0.022
Nd 0.739 0.717 0.478
Nd 0.860 0.353 0.507
Th 0.000 0.000 0.500
Th 0.000 0.500 0.000
```

two:
Material: La2Nd4Th
Method: DFT, PBE
State: optimized geometry Values from VASP.

Calculated values
Space-group type ... Cmmm
N(E_F) ... 1.983 states/eV per atom

Quantum ESPRESSO input file:
```
&SYSTEM
  ibrav = 0, nat = 7, ntyp = 3
/
ATOMIC_SPECIES
La 138.91 La.upf
Nd 144.24 Nd.upf
Th 232.04 Th.upf
CELL_PARAMETERS angstrom
3.048 -11.666 0.000
3.048 11.666 0.000
0.000 0.000 3.499
ATOMIC_POSITIONS crystal
La 0.216 0.784 0.000
La 0.784 0.216 0.000
Nd 0.075 0.925 0.500
Nd 0.367 0.633 0.000
Nd 0.633 0.367 0.000
Nd 0.925 0.075 0.500
Th 0.500 0.500 0.500
```

Stability summary: most stable two, least stable one.

one:
Material: LaNd4Th
Method: DFT, PBE
State: optimized geometry Values from VASP.

Calculated values
Space-group type ... C2/m
N(E_F) ... 1.724 states/eV per atom

Quantum ESPRESSO input file:
```
&SYSTEM
  ibrav = 0, nat = 6, ntyp = 3
/
ATOMIC_SPECIES
La 138.91 La.upf
Nd 144.24 Nd.upf
Th 232.04 Th.upf
CELL_PARAMETERS angstrom
6.088 -1.830 0.000
6.088 1.830 0.000
-4.476 0.000 9.444
ATOMIC_POSITIONS crystal
La 0.000 0.000 0.000
Nd 0.335 0.335 0.660
Nd 0.336 0.336 0.177
Nd 0.664 0.664 0.823
Nd 0.665 0.665 0.340
Th 0.000 0.000 0.500
```

two:
Material: LaNd4Th
Method: DFT, PBE
State: optimized geometry Values from VASP.

Calculated values
Space-group type ... Cmcm
N(E_F) ... 2.137 states/eV per atom

Quantum ESPRESSO input file:
```
&SYSTEM
  ibrav = 0, nat = 12, ntyp = 3
/
ATOMIC_SPECIES
La 138.91 La.upf
Nd 144.24 Nd.upf
Th 232.04 Th.upf
CELL_PARAMETERS angstrom
3.305 -5.811 0.000
3.305 5.811 0.000
0.000 0.000 10.914
ATOMIC_POSITIONS crystal
La 0.179 0.821 0.750
La 0.821 0.179 0.250
Nd 0.178 0.340 0.750
Nd 0.334 0.666 0.063
Nd 0.334 0.666 0.437
Nd 0.340 0.178 0.250
Nd 0.660 0.822 0.750
Nd 0.666 0.334 0.563
Nd 0.666 0.334 0.937
Nd 0.822 0.660 0.250
Th 0.000 0.000 0.000
Th 0.000 0.000 0.500
```

Stability summary: most stable one, least stable two.

one:
Material: La4NdTh
Method: DFT, PBE
State: optimized geometry Values from VASP.

Calculated values
Space-group type ... Cmcm
N(E_F) ... 2.143 states/eV per atom

Quantum ESPRESSO input file:
```
&SYSTEM
  ibrav = 0, nat = 12, ntyp = 3
/
ATOMIC_SPECIES
La 138.91 La.upf
Nd 144.24 Nd.upf
Th 232.04 Th.upf
CELL_PARAMETERS angstrom
3.389 -5.740 0.000
3.389 5.740 0.000
0.000 0.000 10.995
ATOMIC_POSITIONS crystal
La 0.146 0.334 0.750
La 0.165 0.835 0.564
La 0.165 0.835 0.936
La 0.334 0.146 0.250
La 0.666 0.854 0.750
La 0.835 0.165 0.064
La 0.835 0.165 0.436
La 0.854 0.666 0.250
Nd 0.334 0.666 0.250
Nd 0.666 0.334 0.750
Th 0.500 0.500 0.000
Th 0.500 0.500 0.500
```

two:
Material: La4NdTh
Method: DFT, PBE
State: optimized geometry Values from VASP.

Calculated values
Space-group type ... C2/m
N(E_F) ... 1.931 states/eV per atom

Quantum ESPRESSO input file:
```
&SYSTEM
  ibrav = 0, nat = 6, ntyp = 3
/
ATOMIC_SPECIES
La 138.91 La.upf
Nd 144.24 Nd.upf
Th 232.04 Th.upf
CELL_PARAMETERS angstrom
5.869 -1.766 0.000
5.869 1.766 0.000
-5.477 0.000 10.387
ATOMIC_POSITIONS crystal
La 0.156 0.156 0.344
La 0.337 0.337 0.162
La 0.663 0.663 0.838
La 0.844 0.844 0.656
Nd 0.000 0.000 0.000
Th 0.500 0.500 0.500
```

Stability summary: most stable two, least stable one.